Entry 1:
Crystalline NaTeH2F8 at its relaxed geometry, computed with GGA-PBE.

Summary:
Total magnetization: 0.98 Bohr magnetons per cell
Uncorrected energy: -4.147 eV per atom

extended XYZ file:
```
12
Lattice="-3.118 -1.219 3.614 -4.109 -1.590 -2.391 3.106 -6.319 0.577" Properties=species:S:1:pos:R:3 pbc="T T T"
F -1.362 -6.361 -0.556
F -0.385 -4.338 0.654
F 1.313 -7.010 0.903
F -0.766 -6.320 2.824
F -3.355 -2.807 -1.024
F -3.735 -4.790 1.146
F -2.759 -2.767 2.356
F -5.433 -2.117 0.897
Na 1.553 -3.159 0.288
H -0.639 -5.203 0.311
H -3.482 -3.925 1.489
Te 0.000 0.000 0.000
```

=====

Entry 2:
Crystalline KPr2F8 at its relaxed geometry, computed with GGA-PBE.

Summary:
Raw formation energy: -3468 meV per atom
Total magnetization: 1.12 Bohr magnetons per cell

extended XYZ file:
```
11
Lattice="-3.600 1.934 1.756 0.400 -4.488 4.992 3.796 5.461 0.997" Properties=species:S:1:pos:R:3 pbc="T T T"
F -0.552 -1.036 4.872
F 0.249 -1.108 1.761
F 1.148 3.943 2.872
F -0.578 1.307 7.071
F 0.347 4.015 5.984
F 1.174 1.600 0.673
F 1.281 1.143 3.936
F -0.685 1.763 3.809
Pr 1.445 -1.427 3.763
Pr 2.751 2.400 2.226
K -1.800 0.967 0.878
```

=====

Entry 3:
Crystalline SnHBr2 at its relaxed geometry, computed with GGA-PBE.

Summary:
Total magnetization: 0.81 Bohr magnetons per cell
Uncorrected energy: -2.721 eV per atom

extended XYZ file:
```
4
Lattice="-5.786 -0.082 -2.562 -4.510 -4.436 0.198 -5.701 0.069 2.746" Properties=species:S:1:pos:R:3 pbc="T T T"
H 0.000 0.000 0.000
Br -14.351 -3.990 0.343
Br -1.646 -0.458 0.039
Sn -7.999 -2.224 0.191
```

=====

Entry 4:
Crystalline Pm2YP at its relaxed geometry, computed with GGA-PBE.

Summary:
E_form: -641 meV/atom
Total magnetization: 0.77 Bohr magnetons per cell

extended XYZ file:
```
4
Lattice="3.897 0.000 0.000 1.948 3.375 0.000 1.948 1.125 9.565" Properties=species:S:1:pos:R:3 pbc="T T T"
Y 3.897 2.250 4.782
Pm 1.948 1.125 1.696
Pm 5.845 3.375 7.869
P 0.000 0.000 0.000
```

=====

Entry 5:
Crystalline Nd2Y2Se3S2 at its relaxed geometry, computed with GGA-PBE.

Summary:
Raw formation energy: -1554 meV per atom
Total magnetization: 0.00 Bohr magnetons per cell

extended XYZ file:
```
9
Lattice="5.653 0.000 0.000 0.000 5.653 0.000 -2.826 -2.826 7.256" Properties=species:S:1:pos:R:3 pbc="T T T"
S 2.826 2.826 1.411
S 0.000 0.000 5.845
Y 0.000 2.826 0.000
Y 2.826 0.000 0.000
Nd 0.000 0.000 3.076
Nd 2.826 2.826 4.180
Se 0.000 0.000 0.000
Se 0.000 2.826 3.628
Se 2.826 0.000 3.628
```

=====

Entry 6:
Crystalline NiPRu2 at its relaxed geometry, computed with GGA-PBE.

Summary:
E_form: 18 meV/atom
Total magnetization: 0.00 Bohr magnetons per cell

extended XYZ file:
```
4
Lattice="-1.723 1.064 -1.970 -1.353 -3.300 -0.599 -3.531 0.808 3.525" Properties=species:S:1:pos:R:3 pbc="T T T"
Ni -1.668 0.382 1.665
Ru -3.396 0.777 3.390
Ru -2.594 -0.877 -0.230
P -4.245 -0.499 1.418
```